[1]
First-principles (GGA-PBE) data for a geometry-optimized TlOF structure, as listed in the Alexandria database.

abc: 3.623 3.623 8.778
angles: 78.09 78.09 60.00
Sites, in units of the cell vectors:
Tl: 0.901 0.901 0.298
Tl: 0.099 0.099 0.702
O: 0.794 0.794 0.618
O: 0.206 0.206 0.382
F: 0.385 0.385 0.846
F: 0.615 0.615 0.154

Calculated values
Formation energy (no corrections), meV per atom: -1158
E_tot, eV per cell: -25.3

***

[2]
First-principles (GGA-PBE) data for a geometry-optimized Tl2OF2 structure, as listed in the Alexandria database.

abc: 5.026 5.026 5.311
angles: 61.76 61.76 90.00
Last column: magnetic moment on the atom in μB.
Sites, in units of the cell vectors:
Tl: 0.750 0.250 0.500  0.08
Tl: 0.250 0.750 0.500  0.08
O: 0.000 0.000 0.000  1.07
F: 0.323 0.323 0.355  0.10
F: 0.677 0.677 0.645  0.10

Calculated values
Formation energy (no corrections), meV per atom: -816
Distance to the lowest polymorph of the same formula, meV per atom: 561
E_tot, eV per cell: -17.5

***

[3]
First-principles (GGA-PBE) data for a geometry-optimized TlOF structure, as listed in the Alexandria database.

abc: 9.327 9.327 10.480
angles: 111.21 111.21 105.90
Last column: magnetic moment on the atom in μB.
Sites, in units of the cell vectors:
Tl: 0.717 0.976 0.247  0.00
Tl: 0.737 0.249 0.019  0.00
Tl: 0.723 0.723 0.476  0.00
Tl: 0.976 0.717 0.247  0.00
Tl: 0.967 0.967 0.000  0.00
Tl: 0.505 0.245 0.255  0.00
Tl: 0.245 0.505 0.255  0.00
Tl: 0.263 0.018 0.777  0.00
Tl: 0.303 0.303 0.536  0.00
Tl: 0.464 0.991 0.464  0.00
Tl: 0.991 0.464 0.464  0.00
Tl: 0.773 0.501 0.719  0.00
Tl: 0.501 0.773 0.719  0.00
Tl: 0.018 0.263 0.777  0.00
Tl: 0.502 0.502 0.041  0.00
Tl: 0.249 0.737 0.019  0.00
O: 0.731 0.491 0.029  0.05
O: 0.772 0.772 0.305  0.00
O: 0.474 0.231 0.003  0.03
O: 0.231 0.474 0.003  0.03
O: 0.987 0.715 0.950  0.00
O: 0.744 0.216 0.247  0.01
O: 0.216 0.744 0.247  0.01
O: 0.468 0.468 0.262  0.00
O: 0.463 0.999 0.246  0.01
O: 0.999 0.463 0.246  0.01
O: 0.784 0.513 0.500  0.00
O: 0.513 0.784 0.500  0.00
O: 0.527 0.270 0.529  0.00
O: 0.270 0.527 0.529  0.00
O: 0.491 0.731 0.029  0.05
O: 0.715 0.987 0.950  0.00
F: 0.205 0.010 0.983  0.00
F: 0.010 0.205 0.983  0.00
F: 0.206 0.206 0.260  0.00
F: 0.481 0.038 0.716  0.00
F: 0.769 0.769 0.725  0.00
F: 0.914 0.914 0.174  0.00
F: 0.776 0.095 0.537  0.00
F: 0.095 0.776 0.537  0.00
F: 0.216 0.022 0.466  0.00
F: 0.022 0.216 0.466  0.00
F: 0.558 0.558 0.772  0.00
F: 0.811 0.314 0.816  0.00
F: 0.314 0.811 0.816  0.00
F: 0.038 0.481 0.716  0.00
F: 0.276 0.276 0.749  0.00
F: 0.993 0.993 0.691  0.00

Calculated values
Formation energy (no corrections), meV per atom: -1174
E_tot, eV per cell: -203.5

***

[4]
First-principles (GGA-PBE) data for a geometry-optimized Tl12O5F structure, as listed in the Alexandria database.

abc: 6.224 6.280 13.419
angles: 89.98 89.96 60.29
Sites, in units of the cell vectors:
Tl: 0.834 0.000 0.387
Tl: 0.166 0.000 0.613
Tl: 0.649 0.000 0.881
Tl: 0.351 0.000 0.119
Tl: 0.350 0.649 0.881
Tl: 0.001 0.649 0.119
Tl: 0.999 0.351 0.881
Tl: 0.650 0.351 0.119
Tl: 0.500 0.333 0.613
Tl: 0.833 0.667 0.613
Tl: 0.167 0.333 0.387
Tl: 0.500 0.667 0.387
O: 0.500 0.000 0.500
O: 0.168 0.665 0.500
O: 0.832 0.335 0.500
O: 0.667 0.667 0.000
O: 0.333 0.333 0.000
F: 0.000 0.000 0.000

Calculated values
Formation energy (no corrections), meV per atom: -660
E_tot, eV per cell: -66.9

***

[5]
First-principles (GGA-PBE) data for a geometry-optimized TlO2F2 structure, as listed in the Alexandria database.

abc: 2.892 2.892 8.778
angles: 80.52 80.52 90.00
Last column: magnetic moment on the atom in μB.
Sites, in units of the cell vectors:
Tl: 0.000 0.000 0.000  0.00
O: 0.750 0.250 0.500  0.10
O: 0.250 0.750 0.500  0.10
F: 0.421 0.421 0.158  0.00
F: 0.579 0.579 0.842  0.00

Calculated values
Formation energy (no corrections), meV per atom: 45
Distance to the lowest polymorph of the same formula, meV per atom: 994
E_tot, eV per cell: -15.8

***

[6]
First-principles (GGA-PBE) data for a geometry-optimized Tl2OF2 structure, as listed in the Alexandria database.

abc: 3.475 6.319 8.816
angles: 90.00 90.00 105.96
Sites, in units of the cell vectors:
Tl: 0.259 0.519 0.160
Tl: 0.023 0.045 0.905
Tl: 0.741 0.481 0.660
Tl: 0.977 0.955 0.405
O: 0.627 0.254 0.927
O: 0.373 0.746 0.427
F: 0.934 0.869 0.138
F: 0.394 0.787 0.855
F: 0.066 0.131 0.638
F: 0.606 0.213 0.355

Calculated values
Formation energy (no corrections), meV per atom: -1377
Distance to the lowest polymorph of the same formula, meV per atom: 0
E_tot, eV per cell: -40.6

***

[7]
First-principles (GGA-PBE) data for a geometry-optimized Tl2OF structure, as listed in the Alexandria database.

abc: 4.691 4.691 4.691
angles: 60.00 60.00 60.00
Last column: magnetic moment on the atom in μB.
Sites, in units of the cell vectors:
Tl: 0.250 0.250 0.250  0.07
Tl: 0.750 0.750 0.750  0.07
O: 0.000 0.000 0.000  0.63
F: 0.500 0.500 0.500  0.02

Calculated values
Formation energy (no corrections), meV per atom: -799
Distance to the lowest polymorph of the same formula, meV per atom: 247
E_tot, eV per cell: -14.8

***

[8]
First-principles (GGA-PBE) data for a geometry-optimized Tl5O2F structure, as listed in the Alexandria database.

abc: 5.905 9.282 10.478
angles: 90.00 90.00 108.55
Sites, in units of the cell vectors:
Tl: 0.895 0.790 0.948
Tl: 0.895 0.790 0.552
Tl: 0.315 0.631 0.422
Tl: 0.315 0.631 0.078
Tl: 0.708 0.416 0.250
Tl: 0.292 0.584 0.750
Tl: 0.685 0.369 0.578
Tl: 0.685 0.369 0.922
Tl: 0.105 0.210 0.052
Tl: 0.105 0.210 0.448
O: 0.788 0.577 0.432
O: 0.788 0.577 0.068
O: 0.212 0.423 0.568
O: 0.212 0.423 0.932
F: 0.794 0.588 0.750
F: 0.206 0.412 0.250

Calculated values
Formation energy (no corrections), meV per atom: -766
E_tot, eV per cell: -59.5

***

[9]
First-principles (GGA-PBE) data for a geometry-optimized Tl12O3F5 structure, as listed in the Alexandria database.

abc: 13.915 13.915 13.915
angles: 109.47 109.47 109.47
Sites, in units of the cell vectors:
O: 0.750 0.375 0.125
O: 0.875 0.750 0.125
O: 0.375 0.750 0.625
O: 0.250 0.125 0.375
O: 0.875 0.125 0.250
O: 0.375 0.625 0.250
O: 0.625 0.375 0.750
O: 0.125 0.875 0.750
O: 0.750 0.875 0.625
O: 0.625 0.250 0.375
O: 0.125 0.250 0.875
O: 0.250 0.625 0.875
F: 0.125 0.375 0.250
F: 0.000 0.500 0.000
F: 0.000 0.000 0.000
F: 0.375 0.250 0.125
F: 0.500 0.000 0.500
F: 0.500 0.500 0.000
F: 0.125 0.750 0.375
F: 0.750 0.125 0.875
F: 0.750 0.625 0.375
F: 0.375 0.125 0.750
F: 0.625 0.875 0.250
F: 0.500 0.500 0.500
F: 0.500 0.000 0.000
F: 0.000 0.000 0.500
F: 0.250 0.375 0.625
F: 0.250 0.875 0.125
F: 0.000 0.500 0.500
F: 0.875 0.250 0.625
F: 0.625 0.750 0.875
F: 0.875 0.625 0.750
Tl: 0.730 0.125 0.055
Tl: 0.325 0.555 0.429
Tl: 0.945 0.375 0.270
Tl: 0.555 0.230 0.125
Tl: 0.604 0.730 0.675
Tl: 0.945 0.571 0.175
Tl: 0.325 0.770 0.396
Tl: 0.071 0.896 0.125
Tl: 0.571 0.945 0.675
Tl: 0.730 0.604 0.175
Tl: 0.770 0.445 0.375
Tl: 0.825 0.929 0.055
Tl: 0.125 0.730 0.555
Tl: 0.375 0.429 0.104
Tl: 0.104 0.929 0.375
Tl: 0.396 0.125 0.571
Tl: 0.104 0.175 0.230
Tl: 0.445 0.675 0.071
Tl: 0.825 0.896 0.270
Tl: 0.125 0.396 0.071
Tl: 0.375 0.945 0.770
Tl: 0.571 0.625 0.396
Tl: 0.929 0.825 0.555
Tl: 0.770 0.325 0.896
Tl: 0.429 0.375 0.604
Tl: 0.071 0.175 0.445
Tl: 0.230 0.675 0.104
Tl: 0.175 0.104 0.730
Tl: 0.625 0.055 0.230
Tl: 0.875 0.604 0.929
Tl: 0.555 0.325 0.929
Tl: 0.604 0.875 0.429
Tl: 0.896 0.825 0.770
Tl: 0.896 0.071 0.625
Tl: 0.875 0.270 0.445
Tl: 0.175 0.071 0.945
Tl: 0.625 0.571 0.896
Tl: 0.429 0.055 0.325
Tl: 0.270 0.396 0.825
Tl: 0.230 0.555 0.625
Tl: 0.929 0.104 0.875
Tl: 0.675 0.230 0.604
Tl: 0.445 0.770 0.875
Tl: 0.055 0.429 0.825
Tl: 0.396 0.270 0.325
Tl: 0.055 0.625 0.730
Tl: 0.675 0.445 0.571
Tl: 0.270 0.875 0.945

Calculated values
Formation energy (no corrections), meV per atom: -874
E_tot, eV per cell: -280.4

***

[10]
First-principles (GGA-PBE) data for a geometry-optimized Tl2OF structure, as listed in the Alexandria database.

abc: 3.628 8.772 10.618
angles: 90.00 90.00 90.00
Sites, in units of the cell vectors:
Tl: 0.750 0.315 0.480
Tl: 0.250 0.185 0.980
Tl: 0.250 0.685 0.520
Tl: 0.750 0.815 0.020
Tl: 0.750 0.560 0.224
Tl: 0.250 0.940 0.724
Tl: 0.250 0.440 0.776
Tl: 0.750 0.060 0.276
O: 0.750 0.503 0.634
O: 0.250 0.997 0.134
O: 0.250 0.497 0.366
O: 0.750 0.003 0.866
F: 0.750 0.808 0.386
F: 0.250 0.692 0.886
F: 0.250 0.192 0.614
F: 0.750 0.308 0.114

Calculated values
Formation energy (no corrections), meV per atom: -1045
Distance to the lowest polymorph of the same formula, meV per atom: 0
E_tot, eV per cell: -63.0

***

[11]
First-principles (GGA-PBE) data for a geometry-optimized TlO2F2 structure, as listed in the Alexandria database.

abc: 4.374 4.374 4.422
angles: 90.00 90.00 90.00
Last column: magnetic moment on the atom in μB.
Sites, in units of the cell vectors:
Tl: 0.000 0.000 0.000  -0.02
O: 0.500 0.500 0.500  1.63
O: 0.000 0.000 0.500  0.78
F: 0.000 0.500 0.000  0.02
F: 0.500 0.000 0.000  0.02

Calculated values
Formation energy (no corrections), meV per atom: -184
Distance to the lowest polymorph of the same formula, meV per atom: 765
E_tot, eV per cell: -16.9

***

[12]
First-principles (GGA-PBE) data for a geometry-optimized Tl2OF structure, as listed in the Alexandria database.

abc: 3.847 3.847 7.506
angles: 75.15 75.15 60.00
Sites, in units of the cell vectors:
Tl: 0.058 0.058 0.827
Tl: 0.236 0.236 0.293
O: 0.698 0.698 0.907
F: 0.509 0.509 0.472

Calculated values
Formation energy (no corrections), meV per atom: -1000
Distance to the lowest polymorph of the same formula, meV per atom: 45
E_tot, eV per cell: -15.6

***

[13]
First-principles (GGA-PBE) data for a geometry-optimized Tl2OF structure, as listed in the Alexandria database.

abc: 3.794 3.794 6.667
angles: 73.47 73.47 60.00
Sites, in units of the cell vectors:
Tl: 0.258 0.258 0.227
Tl: 0.742 0.742 0.773
O: 0.000 0.000 0.000
F: 0.500 0.500 0.500

Calculated values
Formation energy (no corrections), meV per atom: -970
Distance to the lowest polymorph of the same formula, meV per atom: 76
E_tot, eV per cell: -15.4

***

[14]
First-principles (GGA-PBE) data for a geometry-optimized TlOF structure, as listed in the Alexandria database.

abc: 4.961 6.203 9.150
angles: 87.55 92.16 92.01
Sites, in units of the cell vectors:
Tl: 0.500 0.500 0.000
Tl: 0.463 0.838 0.690
Tl: 0.537 0.162 0.310
Tl: 0.952 0.314 0.642
Tl: 0.048 0.686 0.358
Tl: 0.000 0.000 0.000
F: 0.770 0.728 0.139
F: 0.737 0.551 0.785
F: 0.706 0.882 0.456
F: 0.294 0.118 0.544
F: 0.263 0.449 0.215
F: 0.230 0.272 0.861
O: 0.779 0.399 0.424
O: 0.804 0.034 0.767
O: 0.704 0.224 0.086
O: 0.296 0.776 0.914
O: 0.221 0.601 0.576
O: 0.196 0.966 0.233

Calculated values
Formation energy (no corrections), meV per atom: -1181
E_tot, eV per cell: -76.4

***

[15]
First-principles (GGA-PBE) data for a geometry-optimized TlOF structure, as listed in the Alexandria database.

abc: 4.624 3.555 3.555
angles: 120.00 90.00 90.00
Sites, in units of the cell vectors:
Tl: 0.037 0.000 0.000
O: 0.205 0.333 0.667
F: 0.757 0.667 0.333

Calculated values
Formation energy (no corrections), meV per atom: -1131
E_tot, eV per cell: -12.6

***

[16]
First-principles (GGA-PBE) data for a geometry-optimized Tl2OF structure, as listed in the Alexandria database.

abc: 5.817 5.817 7.048
angles: 65.63 65.63 90.00
Sites, in units of the cell vectors:
Tl: 0.601 0.125 0.250
Tl: 0.149 0.625 0.250
Tl: 0.375 0.399 0.750
Tl: 0.875 0.851 0.750
O: 0.500 0.500 0.000
O: 0.250 0.750 0.500
F: 0.000 0.000 0.000
F: 0.750 0.250 0.500

Calculated values
Formation energy (no corrections), meV per atom: -966
Distance to the lowest polymorph of the same formula, meV per atom: 80
E_tot, eV per cell: -30.9

***

[17]
First-principles (GGA-PBE) data for a geometry-optimized Tl2O2F5 structure, as listed in the Alexandria database.

abc: 6.039 6.039 6.453
angles: 108.49 108.49 108.80
Last column: magnetic moment on the atom in μB.
Sites, in units of the cell vectors:
Tl: 0.779 0.221 0.000  0.01
Tl: 0.221 0.779 0.000  0.01
O: 0.559 0.559 0.118  0.72
O: 0.441 0.441 0.882  0.72
F: 0.000 0.000 0.000  0.00
F: 0.375 0.875 0.750  0.01
F: 0.875 0.375 0.750  0.01
F: 0.625 0.125 0.250  0.01
F: 0.125 0.625 0.250  0.01

Calculated values
Formation energy (no corrections), meV per atom: -1207
E_tot, eV per cell: -34.9

***

[18]
First-principles (GGA-PBE) data for a geometry-optimized UTl2O3F3 structure, as listed in the Alexandria database.

abc: 3.344 6.693 6.693
angles: 120.00 90.00 90.00
Sites, in units of the cell vectors:
U: 0.000 0.000 0.000
Tl: 0.500 0.333 0.667
Tl: 0.500 0.667 0.333
O: 0.500 0.784 0.000
O: 0.500 0.216 0.216
O: 0.500 0.000 0.784
F: 0.000 0.000 0.367
F: 0.000 0.633 0.633
F: 0.000 0.367 0.000

Calculated values
Formation energy (no corrections), meV per atom: -2165
E_tot, eV per cell: -56.0